[1]
The following is a PBE-GGA calculation of AcMnSb3 after structural relaxation, from Alexandria.

Cell: 5.231 5.231 5.231 Å, 90.00 90.00 90.00°
Atoms (fractional coordinates):
Ac  0.000  0.000  0.000
Mn  0.500  0.500  0.500
Sb  0.000  0.500  0.500
Sb  0.500  0.000  0.500
Sb  0.500  0.500  0.000

## Properties
excess energy over the best structure of this formula in the dataset = 245 meV/atom
uncorrected formation energy = -264 meV per atom

[2]
The following is a PBE-GGA calculation of AcMnSb3 after structural relaxation, from Alexandria.

Cell: 13.798 6.386 6.214 Å, 90.00 90.00 90.00°
Atoms (fractional coordinates):
Ac  0.193  0.003  0.250
Ac  0.193  0.497  0.750
Ac  0.807  0.503  0.250
Ac  0.807  0.997  0.750
Mn  0.414  0.750  0.000
Mn  0.414  0.750  0.500
Mn  0.586  0.250  0.000
Mn  0.586  0.250  0.500
Sb  0.001  0.750  0.000
Sb  0.001  0.750  0.500
Sb  0.293  0.505  0.250
Sb  0.293  0.995  0.750
Sb  0.440  0.100  0.250
Sb  0.440  0.400  0.750
Sb  0.560  0.600  0.250
Sb  0.560  0.900  0.750
Sb  0.707  0.005  0.250
Sb  0.707  0.495  0.750
Sb  0.999  0.250  0.000
Sb  0.999  0.250  0.500

## Properties
excess energy over the best structure of this formula in the dataset = 0 meV/atom
uncorrected formation energy = -509 meV per atom

[3]
The following is a PBE-GGA calculation of Ac2MnSbSe6 after structural relaxation, from Alexandria.

Cell: 6.968 7.763 12.300 Å, 90.00 124.08 90.00°
Atoms (fractional coordinates):
Ac  0.207  0.104  0.248
Ac  0.207  0.396  0.748
Ac  0.793  0.604  0.252
Ac  0.793  0.896  0.752
Mn  0.000  0.000  0.500
Mn  0.000  0.500  0.000
Sb  0.500  0.000  0.000
Sb  0.500  0.500  0.500
Se  0.115  0.195  0.947
Se  0.115  0.305  0.447
Se  0.261  0.675  0.951
Se  0.261  0.825  0.451
Se  0.350  0.018  0.737
Se  0.350  0.482  0.237
Se  0.650  0.518  0.763
Se  0.650  0.982  0.263
Se  0.739  0.175  0.549
Se  0.739  0.325  0.049
Se  0.885  0.695  0.553
Se  0.885  0.805  0.053

## Properties
uncorrected formation energy = -1174 meV per atom

[4]
The following is a PBE-GGA calculation of Ac2ScMnSe6 after structural relaxation, from Alexandria.

Cell: 6.862 7.709 12.065 Å, 90.00 124.27 90.00°
Atoms (fractional coordinates):
Ac  0.209  0.103  0.248
Ac  0.209  0.397  0.748
Ac  0.791  0.603  0.252
Ac  0.791  0.897  0.752
Sc  0.500  0.000  0.000
Sc  0.500  0.500  0.500
Mn  0.000  0.000  0.500
Mn  0.000  0.500  0.000
Se  0.134  0.185  0.952
Se  0.134  0.315  0.452
Se  0.266  0.680  0.954
Se  0.266  0.820  0.454
Se  0.341  0.010  0.741
Se  0.341  0.490  0.241
Se  0.659  0.510  0.759
Se  0.659  0.990  0.259
Se  0.734  0.180  0.546
Se  0.734  0.320  0.046
Se  0.866  0.685  0.548
Se  0.866  0.815  0.048

## Properties
uncorrected formation energy = -1552 meV per atom